VASP calculation (PBE) on a geometry-optimized LaHoHgIr structure.

Structure (extended XYZ):
```
4
Lattice="5.1616 0.0000 0.0000 2.5808 4.4701 0.0000 2.5808 1.4900 4.2145" Properties=species:S:1:pos:R:3 pbc="T T T"
Ir 0.0000 0.0000 0.0000
La 2.5808 1.4900 1.0536
Ho 7.7425 4.4701 3.1608
Hg 5.1616 2.9801 2.1072
```

Summary:
As for the density: 11.9 Mg/m³. The volume is 24.31 Å³/atom. The calculation puts the total magnetic moment at 0.000 μB/atom. Its space group is F-43m (216). The calculation puts the uncorrected energy at -5.215 eV/atom.

=====

VASP calculation (PBE) on a geometry-optimized LiAsRuRh structure.

Structure (extended XYZ):
```
4
Lattice="-2.9089 -0.3192 2.9815 1.1413 -0.3260 4.0055 -0.6583 3.1824 2.6252" Properties=species:S:1:pos:R:3 pbc="T T T"
Rh -0.6065 0.6343 2.4030
Li -1.2129 1.2686 4.8061
As 0.0000 0.0000 0.0000
Ru -1.8194 1.9029 7.2091
```

Summary:
As for the density: 9.2 Mg/m³. The volume is 12.89 Å³/atom. The calculation puts the total magnetic moment at 0.000 μB/atom. Its space group is F-43m (216). The calculation puts the uncorrected energy at -6.211 eV/atom.

=====

VASP calculation (PBE) on a geometry-optimized Sm3ZnS6 structure.

Structure (extended XYZ):
```
20
Lattice="6.3916 0.0000 0.0000 0.0000 8.8093 0.0421 0.0000 -1.9248 8.5965" Properties=species:S:1:pos:R:3 pbc="T T T"
Sm 5.7535 4.6450 3.3608
Sm 3.0504 6.7777 6.1928
Sm 6.2462 4.5242 7.9887
Sm 2.5577 2.2395 5.2778
Sm 3.0504 2.3603 0.6499
Sm 6.2462 0.1068 2.4458
S 1.0746 -1.5403 8.2901
S 1.2516 2.0658 7.7953
S 4.2617 0.4439 6.7088
S 1.2142 2.5414 2.7695
S 1.2142 4.7519 5.5433
S 4.4099 4.3431 5.8691
S 4.4099 2.1325 3.0953
S 4.4474 4.8187 0.8433
S 4.4474 7.1377 3.7532
S 1.2516 -0.2533 4.8854
S 1.0659 6.4406 1.9298
S 4.2704 8.4248 0.3484
Zn 3.3506 6.7015 1.7219
Zn 0.1548 0.1830 6.9167
```

Summary:
As for the formation energy from raw total energies: -1.608 eV/atom. As for the density: 4.9 Mg/m³. The volume is 24.23 Å³/atom. The calculation puts the total magnetic moment at 0.000 μB/atom. Its space group is Cmc2_1 (36). The calculation puts the uncorrected energy at -5.628 eV/atom.